A relaxed structure of CrCuPdF6. Source: Alexandria, functional PBE+U.

Cell lengths 5.371, 5.371, 9.533 Å; angles 90.00, 90.00, 120.00 degrees
Positions (direct):
1 F 0.656 0.634 0.138
2 F 0.978 0.634 0.362
3 F 0.634 0.978 0.862
4 Cr 0.667 0.333 0.250
5 F 0.656 0.022 0.362
6 Cu 0.667 0.333 0.750
7 Cu 0.333 0.667 0.250
8 F 0.344 0.366 0.862
9 F 0.022 0.656 0.862
10 Cr 0.333 0.667 0.750
11 Pd 0.000 0.000 0.000
12 F 0.344 0.978 0.638
13 F 0.634 0.656 0.638
14 F 0.978 0.344 0.138
15 F 0.366 0.344 0.362
16 F 0.022 0.366 0.638
17 F 0.366 0.022 0.138
18 Pd 0.000 0.000 0.500

D(E_F) in states/eV/atom: 0.575
Calculated density in g cm⁻³: 4.68
V in Å³/f.u.: 119.1
Symmetry: P-31c
Energy in eV per cell: -88.65